[1]
## Nb5P3 (GGA-PBE)

Data for Nb5P3 after structural relaxation.

DFT formation energy in eV/atom: -0.893

POSCAR file:
```
Nb5P3
1.0
25.6034 0.0000 0.0000
0.0000 3.4518 0.0000
0.0000 0.0000 11.5636
Nb P
40 24
Direct
0.0007 0.2500 0.1082 Nb
0.0358 0.2500 0.4152 Nb
0.0453 0.2500 0.6934 Nb
0.1011 0.7500 0.0679 Nb
0.1245 0.7500 0.7879 Nb
0.1377 0.7500 0.3422 Nb
0.1517 0.2500 0.5565 Nb
0.1769 0.2500 0.9588 Nb
0.2258 0.7500 0.1203 Nb
0.2403 0.2500 0.3445 Nb
0.2597 0.7500 0.8445 Nb
0.2742 0.2500 0.6203 Nb
0.3231 0.7500 0.4588 Nb
0.3483 0.7500 0.0565 Nb
0.3623 0.2500 0.8422 Nb
0.3755 0.2500 0.2879 Nb
0.3989 0.2500 0.5679 Nb
0.4547 0.7500 0.1934 Nb
0.4642 0.7500 0.9152 Nb
0.4993 0.7500 0.6082 Nb
0.5007 0.2500 0.3918 Nb
0.5358 0.2500 0.0848 Nb
0.5453 0.2500 0.8066 Nb
0.6011 0.7500 0.4321 Nb
0.6245 0.7500 0.7121 Nb
0.6377 0.7500 0.1578 Nb
0.6517 0.2500 0.9435 Nb
0.6769 0.2500 0.5412 Nb
0.7258 0.7500 0.3797 Nb
0.7403 0.2500 0.1555 Nb
0.7597 0.7500 0.6555 Nb
0.7742 0.2500 0.8797 Nb
0.8231 0.7500 0.0412 Nb
0.8483 0.7500 0.4435 Nb
0.8623 0.2500 0.6578 Nb
0.8755 0.2500 0.2121 Nb
0.8989 0.2500 0.9321 Nb
0.9547 0.7500 0.3066 Nb
0.9642 0.7500 0.5848 Nb
0.9993 0.7500 0.8918 Nb
0.0490 0.7500 0.2493 P
0.0729 0.2500 0.9182 P
0.0773 0.7500 0.5516 P
0.1582 0.2500 0.1873 P
0.1971 0.2500 0.7458 P
0.2200 0.7500 0.5003 P
0.2800 0.2500 0.0003 P
0.3029 0.7500 0.2458 P
0.3418 0.7500 0.6873 P
0.4227 0.2500 0.0516 P
0.4271 0.7500 0.4182 P
0.4510 0.2500 0.7493 P
0.5490 0.7500 0.2507 P
0.5729 0.2500 0.5818 P
0.5773 0.7500 0.9484 P
0.6582 0.2500 0.3127 P
0.6971 0.2500 0.7542 P
0.7200 0.7500 0.9997 P
0.7800 0.2500 0.4997 P
0.8029 0.7500 0.2542 P
0.8418 0.7500 0.8127 P
0.9227 0.2500 0.4484 P
0.9271 0.7500 0.0818 P
0.9510 0.2500 0.7507 P
```

***

[2]
## CrSi2Ir (GGA-PBE)

Data for CrSi2Ir after structural relaxation.

E_form (uncorrected) in kJ per mole of atoms: -9

POSCAR file:
```
CrSi2Ir
1.0
5.6246 0.0000 0.0000
0.0000 7.8210 0.0000
-1.3312 0.0000 2.4385
Cr Si Ir
2 4 2
Direct
0.0000 0.0000 0.0000 Cr
0.5000 0.5000 0.0000 Cr
0.2500 0.2500 0.5000 Si
0.2500 0.7500 0.5000 Si
0.7500 0.2500 0.5000 Si
0.7500 0.7500 0.5000 Si
0.0000 0.5000 0.0000 Ir
0.5000 0.0000 0.0000 Ir
```

***

[3]
## LiNiSeN2 (GGA-PBE)

Data for LiNiSeN2 after structural relaxation.

E_form (uncorrected) in kJ per mole of atoms: 162
Energy above the lowest structure with this stoichiometry in meV per atom: 845.8

POSCAR file:
```
LiNiSeN2
1.0
3.5519 0.0000 0.0000
0.0000 3.5519 0.0000
0.0000 0.0000 4.8549
Li Ni Se N
1 1 1 2
Direct
0.0000 0.0000 0.0000 Li
0.5000 0.5000 0.5000 Ni
0.0000 0.0000 0.5000 Se
0.0000 0.5000 0.0000 N
0.5000 0.0000 0.0000 N
```